No. 1
An optimized crystal structure of CdCuBr2. Source: Alexandria via LeMat-Bulk, functional PBE-GGA.

Computed properties:
SG: P4mm, No. 99
Crystal system: tetragonal
Excess energy over the best structure of this formula in the dataset, meV per atom: 231

```
data_CdCuBr2
_cell_length_a 3.4974
_cell_length_b 3.4974
_cell_length_c 8.4729
_cell_angle_alpha 90.00
_cell_angle_beta 90.00
_cell_angle_gamma 90.00
_space_group_name_H-M_alt 'P 1'
_space_group_IT_number 1
loop_
_space_group_symop_operation_xyz
'x,y,z'
loop_
_atom_site_label
_atom_site_fract_x
_atom_site_fract_y
_atom_site_fract_z
Br1 0.5000 0.5000 0.3345
Br2 0.0000 0.0000 0.8912
Cd1 0.0000 0.0000 0.5313
Cu1 0.5000 0.5000 0.7431
```

---

No. 2
An optimized crystal structure of AsPSCl2. Source: Alexandria via LeMat-Bulk, functional PBE-GGA.

Computed properties:
SG: P4/mmm, No. 123
Crystal system: tetragonal
Excess energy over the best structure of this formula in the dataset, meV per atom: 114

```
data_AsPSCl2
_cell_length_a 4.8584
_cell_length_b 4.8584
_cell_length_c 5.1698
_cell_angle_alpha 90.00
_cell_angle_beta 90.00
_cell_angle_gamma 90.00
_space_group_name_H-M_alt 'P 1'
_space_group_IT_number 1
loop_
_space_group_symop_operation_xyz
'x,y,z'
loop_
_atom_site_label
_atom_site_fract_x
_atom_site_fract_y
_atom_site_fract_z
S1 0.0000 0.0000 0.5000
Cl1 0.5000 0.0000 0.0000
Cl2 0.0000 0.5000 0.0000
P1 0.5000 0.5000 0.5000
As1 0.0000 0.0000 0.0000
```

---

Raw formation energy for every record listed, in sequence, given in meV per atom: -58 554.